A plane-wave DFT calculation with GGA+U was carried out for a relaxed structure of CoGeNF2.

```
data_CoGeNF2
_chemical_formula_sum 'Co1 Ge1 N1 F2'
_cell_length_a 4.084
_cell_length_b 4.084
_cell_length_c 3.719
_cell_angle_alpha 90.00
_cell_angle_beta 90.00
_cell_angle_gamma 90.00
_space_group_name_H-M_alt 'P 4/m m m'
_space_group_IT_number 123
_space_group_name_Hall '-P 4 2'
loop_
_atom_site_label
_atom_site_fract_x
_atom_site_fract_y
_atom_site_fract_z
Co1 0.000 0.000 0.000
Ge1 0.500 0.500 0.500
N1 0.500 0.500 0.000
F1 0.000 0.500 0.500
```

Summary:
Its raw total energy is -4.6612 eV/atom. Its size of the total moment is 2.54 μB/cell. The crystal system is tetragonal.